## ThZrTi2 (PBE)

Data for a geometry-optimized ThZrTi2 structure.

## Properties
Distance to the lowest polymorph of the same formula in eV per atom: 0.000
Fermi-level density of states in states/eV per atom: 1.454
VASP energy in eV/cell: -125.1
Energy of formation in meV/atom: 118

Structure (CIF):
```
data_ThZrTi2
_chemical_formula_sum 'Th4 Zr4 Ti8'
_symmetry_space_group_name_H-M 'F m -3 m'
_symmetry_Int_Tables_number 225
_symmetry_space_group_name_Hall '-F 4 2 3'
_cell_length_a 7.0260
_cell_length_b 7.0260
_cell_length_c 7.0260
_cell_angle_alpha 90.00
_cell_angle_beta 90.00
_cell_angle_gamma 90.00
loop_
_atom_site_label
_atom_site_type_symbol
_atom_site_fract_x
_atom_site_fract_y
_atom_site_fract_z
Th1 Th 0.0000 0.0000 0.0000
Zr1 Zr 0.0000 0.0000 0.5000
Ti1 Ti 0.2500 0.2500 0.2500
```